A) Ti2VPd | Alexandria via LeMat-Bulk | PBE | optimized geometry; Fermi-level density of states = 6.0 states/eV per cell; crystal system = tetragonal; ρ = 6.864 g/cm³
1.0
3.177 0.000 0.000
0.000 4.390 0.000
0.000 0.000 4.390
Ti Pd V
2 1 1
Direct
0.000 0.000 0.500
0.000 0.500 0.000
0.500 0.000 0.000
0.500 0.500 0.500

***

B) Ti2VPd | Alexandria via LeMat-Bulk | PBE | optimized geometry; Fermi-level density of states = 3.7 states/eV per cell; crystal system = tetragonal; ρ = 6.850 g/cm³
1.0
-1.310 0.329 -2.797
-2.701 -1.018 1.146
-1.629 5.971 1.465
Pd Ti V
1 2 1
Direct
0.500 0.500 0.500
0.000 0.000 0.238
0.000 0.000 0.762
0.500 0.500 0.000

***

Among the structures shown above, B) is the most stable, with the second-best lying 8.1 kJ/mol of atoms higher.